--- w ---
Here is a relaxed structure of YVTe2 from Alexandria via LeMat-Bulk. Energies are from PBE.

POSCAR file:
```
YVTe2
1.0
2.222 0.000 9.362
-1.111 1.925 9.362
-1.111 -1.925 9.362
Y Te V
1 2 1
direct
0.000 0.000 0.000 Y
0.891 0.891 0.891 Te
0.109 0.109 0.109 Te
0.500 0.500 0.500 V
```

--- x ---
Here is a relaxed structure of YVTe2 from Alexandria via LeMat-Bulk. Energies are from PBE.

POSCAR file:
```
YVTe2
1.0
6.505 0.000 0.000
0.000 6.505 0.000
3.252 3.252 6.791
Y Te V
2 4 2
direct
0.000 0.000 0.000 Y
0.750 0.250 0.500 Y
0.593 0.125 0.250 Te
0.157 0.625 0.250 Te
0.375 0.407 0.750 Te
0.875 0.843 0.750 Te
0.500 0.500 0.000 V
0.250 0.750 0.500 V
```

--- y ---
Here is a relaxed structure of YVTe2 from Alexandria via LeMat-Bulk. Energies are from PBE.

POSCAR file:
```
YVTe2
1.0
-3.178 -7.667 4.207
0.522 -8.978 2.388
0.593 -6.919 6.193
Y Te V
1 2 1
direct
0.500 0.500 0.500 Y
0.900 0.900 0.900 Te
0.100 0.100 0.100 Te
0.000 0.000 0.000 V
```

--- z ---
Here is a relaxed structure of YVTe2 from Alexandria via LeMat-Bulk. Energies are from PBE.

POSCAR file:
```
YVTe2
1.0
1.939 -3.194 3.400
2.532 1.788 3.989
-2.022 -0.305 4.620
Y Te V
1 2 1
direct
0.500 0.500 0.500 Y
0.250 0.250 0.250 Te
0.750 0.750 0.750 Te
0.000 0.000 0.000 V
```

Most stable to least stable: z, x, y, w

--- w ---
Here is a relaxed structure of YV3Te from Alexandria via LeMat-Bulk. Energies are from PBE.

POSCAR file:
```
YV3Te
1.0
-2.038 1.907 4.026
-3.444 -3.482 -0.094
2.825 -2.870 2.789
Y Te V
1 1 3
direct
0.500 0.500 0.500 Y
0.000 0.000 0.000 Te
0.000 0.500 0.000 V
0.000 0.000 0.500 V
0.500 0.000 0.000 V
```

--- x ---
Here is a relaxed structure of YV3Te from Alexandria via LeMat-Bulk. Energies are from PBE.

POSCAR file:
```
YV3Te
1.0
4.899 0.000 0.000
0.000 4.899 0.000
0.000 0.000 4.899
Y Te V
1 1 3
direct
0.000 0.000 0.000 Y
0.500 0.500 0.500 Te
0.000 0.500 0.000 V
0.000 0.000 0.500 V
0.500 0.000 0.000 V
```

Most stable to least stable: w, x

--- w ---
Here is a relaxed structure of VZnTe3 from Alexandria via LeMat-Bulk. Energies are from PBE.

POSCAR file:
```
VZnTe3
1.0
5.236 0.000 0.000
0.000 5.236 0.000
0.000 0.000 5.236
Zn Te V
1 3 1
direct
0.500 0.500 0.500 Zn
0.000 0.500 0.000 Te
0.000 0.000 0.500 Te
0.500 0.000 0.000 Te
0.000 0.000 0.000 V
```

--- x ---
Here is a relaxed structure of VZnTe3 from Alexandria via LeMat-Bulk. Energies are from PBE.

POSCAR file:
```
VZnTe3
1.0
5.260 0.000 0.000
0.000 5.260 0.000
0.000 0.000 5.260
Zn Te V
1 3 1
direct
0.000 0.000 0.000 Zn
0.000 0.500 0.000 Te
0.000 0.000 0.500 Te
0.500 0.000 0.000 Te
0.500 0.500 0.500 V
```

Most stable to least stable: w, x

--- w ---
Here is a relaxed structure of Zr2VTe2 from Alexandria via LeMat-Bulk. Energies are from PBE.

POSCAR file:
```
Zr2VTe2
1.0
-2.076 0.003 -3.631
-3.154 -2.075 1.801
-5.763 5.316 0.890
Te Zr V
2 2 1
direct
0.750 0.250 0.500 Te
0.250 0.750 0.500 Te
0.398 0.398 0.203 Zr
0.602 0.602 0.797 Zr
0.000 0.000 0.000 V
```

--- x ---
Here is a relaxed structure of Zr2VTe2 from Alexandria via LeMat-Bulk. Energies are from PBE.

POSCAR file:
```
Zr2VTe2
1.0
7.927 0.000 0.000
0.000 7.927 0.000
0.000 0.000 3.725
Te Zr V
4 4 2
direct
0.152 0.652 0.500 Te
0.652 0.848 0.500 Te
0.848 0.348 0.500 Te
0.348 0.152 0.500 Te
0.354 0.854 0.000 Zr
0.854 0.646 0.000 Zr
0.646 0.146 0.000 Zr
0.146 0.354 0.000 Zr
0.000 0.000 0.000 V
0.500 0.500 0.000 V
```

Most stable to least stable: x, w

--- w ---
Here is a relaxed structure of Zr3VTe from Alexandria via LeMat-Bulk. Energies are from PBE.

POSCAR file:
```
Zr3VTe
1.0
5.245 0.000 0.000
0.000 5.245 0.000
0.000 0.000 5.245
Te Zr V
1 3 1
direct
0.000 0.000 0.000 Te
0.000 0.500 0.000 Zr
0.000 0.000 0.500 Zr
0.500 0.000 0.000 Zr
0.500 0.500 0.500 V
```

--- x ---
Here is a relaxed structure of Zr3VTe from Alexandria via LeMat-Bulk. Energies are from PBE.

POSCAR file:
```
Zr3VTe
1.0
4.926 0.000 0.000
0.000 4.926 0.000
0.000 0.000 4.926
Te Zr V
1 3 1
direct
0.500 0.500 0.500 Te
0.000 0.500 0.000 Zr
0.000 0.000 0.500 Zr
0.500 0.000 0.000 Zr
0.000 0.000 0.000 V
```

Most stable to least stable: x, w

--- w ---
Here is a relaxed structure of ZrVTe2 from Alexandria via LeMat-Bulk. Energies are from PBE.

POSCAR file:
```
ZrVTe2
1.0
0.000 3.494 3.494
3.494 0.000 3.494
3.494 3.494 0.000
Te Zr V
2 1 1
direct
0.250 0.250 0.250 Te
0.750 0.750 0.750 Te
0.500 0.500 0.500 Zr
0.000 0.000 0.000 V
```

--- x ---
Here is a relaxed structure of ZrVTe2 from Alexandria via LeMat-Bulk. Energies are from PBE.

POSCAR file:
```
ZrVTe2
1.0
6.660 0.000 0.000
0.000 8.419 -0.224
0.000 -4.009 7.897
Zr V Te
4 4 8
direct
0.500 0.219 0.500 Zr
0.000 0.281 0.500 Zr
0.500 0.781 0.500 Zr
0.000 0.719 0.500 Zr
0.661 0.430 0.361 V
0.161 0.070 0.639 V
0.339 0.570 0.639 V
0.839 0.930 0.361 V
0.750 0.089 0.178 Te
0.250 0.411 0.822 Te
0.250 0.911 0.822 Te
0.750 0.589 0.178 Te
0.733 0.601 0.702 Te
0.233 0.899 0.298 Te
0.267 0.399 0.298 Te
0.767 0.101 0.702 Te
```

--- y ---
Here is a relaxed structure of ZrVTe2 from Alexandria via LeMat-Bulk. Energies are from PBE.

POSCAR file:
```
ZrVTe2
1.0
7.668 -5.626 -0.361
7.090 -4.911 -4.025
9.001 -2.443 -1.897
Te Zr V
2 1 1
direct
0.902 0.902 0.902 Te
0.098 0.098 0.098 Te
0.500 0.500 0.500 Zr
0.000 0.000 0.000 V
```

Most stable to least stable: x, w, y

--- w ---
Here is a relaxed structure of ZrV2Te6 from Alexandria via LeMat-Bulk. Energies are from PBE.

POSCAR file:
```
ZrV2Te6
1.0
5.106 0.000 0.000
2.553 6.637 -0.170
2.553 2.572 8.164
Zr V Te
1 2 6
direct
0.000 0.500 0.500 Zr
0.171 0.750 0.908 V
0.829 0.250 0.092 V
0.700 0.669 0.930 Te
0.300 0.331 0.070 Te
0.980 0.834 0.207 Te
0.356 0.679 0.610 Te
0.020 0.166 0.793 Te
0.644 0.321 0.390 Te
```

--- x ---
Here is a relaxed structure of ZrV2Te6 from Alexandria via LeMat-Bulk. Energies are from PBE.

POSCAR file:
```
ZrV2Te6
1.0
-0.976 3.600 -0.201
-6.778 -3.734 0.768
3.727 1.492 8.625
Zr V Te
1 2 6
direct
0.000 0.000 0.500 Zr
0.652 0.304 0.812 V
0.348 0.696 0.188 V
0.295 0.590 0.879 Te
0.705 0.410 0.121 Te
0.978 0.957 0.185 Te
0.651 0.301 0.528 Te
0.022 0.043 0.815 Te
0.349 0.699 0.472 Te
```

Most stable to least stable: x, w

--- w ---
Here is a relaxed structure of TeW from Alexandria via LeMat-Bulk. Energies are from PBE.

POSCAR file:
```
TeW
1.0
-0.753 4.557 -0.669
-3.526 2.927 -0.886
-2.252 3.562 2.006
Te W
1 1
direct
0.000 0.000 0.000 Te
0.500 0.500 0.500 W
```

--- x ---
Here is a relaxed structure of TeW from Alexandria via LeMat-Bulk. Energies are from PBE.

POSCAR file:
```
TeW
1.0
4.719 -3.462 -0.862
5.027 -0.876 -2.992
4.081 3.385 4.701
Te W
3 3
direct
0.622 0.622 0.652 Te
0.388 0.388 0.303 Te
0.352 0.352 0.818 Te
0.985 0.985 0.029 W
0.131 0.131 0.314 W
0.689 0.689 0.050 W
```

Most stable to least stable: x, w